No. 1
5
Lattice="3.418 0.000 0.000 0.000 3.418 0.000 -1.709 -1.709 7.133" Properties=species:S:1:pos:R:3 comment="Ti2Si2Hg (GGA-PBEsol, optimized geometry)" final_energy_ev_per_atom=-6.02 space_group="I4/mmm, No. 139" magmom_total_mub_per_cell=0.00 formation_energy_uncorrected_ev_per_atom=-0.2779 pbc="T T T"
Ti 0.000 0.000 5.544
Ti 1.709 1.709 1.588
Hg 0.000 0.000 0.000
Si 1.709 0.000 3.566
Si 0.000 1.709 3.566



No. 2
3
Lattice="3.875 0.000 0.000 1.938 3.356 0.000 1.938 1.119 3.164" Properties=species:S:1:pos:R:3 comment="CrCoRh (GGA-PBEsol, optimized geometry)" formation_energy_ev_per_atom=0.638 final_energy_ev_per_atom=-8.07 space_group="F-43m, No. 216" polymorph_energy_ev_per_atom=0.625 magmom_total_mub_per_cell=3.11 pbc="T T T"
Rh 3.875 2.237 1.582
Cr 0.000 0.000 0.000
Co 1.938 1.119 0.791



No. 3
18
Lattice="-2.370 -3.316 1.571 3.868 -4.100 -2.820 3.615 -0.140 5.161" Properties=species:S:1:pos:R:3 comment="Li2MnSiO5 (GGA-PBEsol, optimized geometry)" final_energy_ev_per_atom=-7.27 space_group="P4/nmm, No. 129" magmom_total_mub_per_cell=6.00 formation_energy_uncorrected_ev_per_atom=-2.1917 pbc="T T T"
O 1.377 -2.829 -1.041
O 2.282 -2.183 2.191
Li 3.678 -1.130 3.166
Si 2.556 -3.778 1.956
O 2.208 -1.027 4.521
O -0.911 -3.254 0.550
Li 3.805 -3.110 -0.825
O 1.274 -4.491 1.233
Li 5.612 -3.180 1.756
Li 1.871 -1.060 0.585
O 3.892 -3.889 1.018
Mn 0.922 -1.308 3.167
O 1.348 -5.647 -1.097
O -0.006 -2.607 3.782
Mn 0.449 -4.128 -0.426
O 0.097 -0.945 1.508
Si -1.185 -1.658 0.785
O 2.778 -4.549 3.381



No. 4
4
Lattice="-1.574 -1.761 1.623 -1.817 -2.814 -4.818 4.896 -1.811 2.784" Properties=species:S:1:pos:R:3 comment="BaTa2Au (GGA-PBEsol, optimized geometry)" formation_energy_ev_per_atom=1.002 final_energy_ev_per_atom=-6.79 space_group="Cmmm, No. 65" polymorph_energy_ev_per_atom=0.642 magmom_total_mub_per_cell=0.00 pbc="T T T"
Au -0.787 -0.881 0.811
Ba -1.696 -2.288 -1.597
Ta 1.539 -2.313 -1.017
Ta 2.448 -0.905 1.392



Number 3 is which compound?
Li2MnSiO5